Computed, not measured: an optimized crystal structure of Ga2Si2Ag at the PBE level of DFT.

Calculated values
Raw formation energy (eV/atom): 0.354
DOS at the Fermi energy (states/eV per atom): 0.3574
Space-group type: No. 127
ΔE to the lowest computed polymorph (meV per atom): 108
E_tot (eV per cell): -35.97

a b c (Å): 7.6324 7.6324 3.0202
angles (deg): 90.00 90.00 90.00
Last column: nearest neighbours and their distance in Å.
Sites, in units of the cell vectors:
Ga 0.1512 0.3488 0.0000  6 Si 2.66-2.73, 2 Ag 2.90
Ga 0.3488 0.8488 0.0000  6 Si 2.66-2.73, 2 Ag 2.90
Ga 0.6512 0.1512 0.0000  6 Si 2.66-2.73, 2 Ag 2.90
Ga 0.8488 0.6512 0.0000  6 Si 2.66-2.73, 2 Ag 2.90
Si 0.1465 0.6465 0.5000  6 Ga 2.66-2.73
Si 0.3535 0.1465 0.5000  6 Ga 2.66-2.73
Si 0.6465 0.8535 0.5000  6 Ga 2.66-2.73
Si 0.8535 0.3535 0.5000  6 Ga 2.66-2.73
Ag 0.0000 0.0000 0.0000  4 Ga 2.90, 2 Ag 3.02
Ag 0.5000 0.5000 0.0000  4 Ga 2.90, 2 Ag 3.02

***

Computed, not measured: an optimized crystal structure of Ac3TlCd2Pd6 at the PBE level of DFT.

Calculated values
DOS at the Fermi energy (states/eV per atom): 0.4710
Formation energy (eV/f.u.): -7.0
Space-group type: No. 164
E_tot (eV per cell): -54.69

a b c (Å): 5.9664 5.9664 9.2201
angles (deg): 90.00 90.00 120.00
Last column: nearest neighbours and their distance in Å.
Sites, in units of the cell vectors:
Ac 0.0000 0.0000 0.0000  6 Pd 3.10, 6 Cd 3.45
Ac 0.3333 0.6667 0.6235  6 Pd 3.14
Ac 0.6667 0.3333 0.3765  6 Pd 3.14
Tl 0.0000 0.0000 0.5000  6 Pd 2.79
Cd 0.3333 0.6667 0.0130  3 Pd 2.88
Cd 0.6667 0.3333 0.9870  3 Pd 2.88
Pd 0.1764 0.3529 0.2716  1 Tl 2.79, 2 Pd 2.81, 1 Cd 2.88, 1 Ac 3.10
Pd 0.1764 0.8236 0.2716  1 Tl 2.79, 2 Pd 2.81, 1 Cd 2.88, 1 Ac 3.10
Pd 0.3529 0.1764 0.7284  1 Tl 2.79, 2 Pd 2.81, 1 Cd 2.88, 1 Ac 3.10
Pd 0.6471 0.8236 0.2716  1 Tl 2.79, 2 Pd 2.81, 1 Cd 2.88, 1 Ac 3.10
Pd 0.8236 0.1764 0.7284  1 Tl 2.79, 2 Pd 2.81, 1 Cd 2.88, 1 Ac 3.10
Pd 0.8236 0.6471 0.7284  1 Tl 2.79, 2 Pd 2.81, 1 Cd 2.88, 1 Ac 3.10

***

Computed, not measured: an optimized crystal structure of InCuP2Cl at the PBE level of DFT.

Calculated values
Raw formation energy (eV/atom): 0.994
DOS at the Fermi energy (states/eV per atom): 0.5913
Space-group type: No. 123
ΔE to the lowest computed polymorph (meV per atom): 584
E_tot (eV per cell): -14.53

a b c (Å): 5.0812 5.0812 5.1552
angles (deg): 90.00 90.00 90.00
Last column: nearest neighbours and their distance in Å.
Sites, in units of the cell vectors:
In 0.0000 0.0000 0.0000  4 P 2.54, 2 Cl 2.58
Cu 0.5000 0.5000 0.5000  4 Cl 3.59, 8 P 3.62
P 0.0000 0.5000 0.0000  2 In 2.54
P 0.5000 0.0000 0.0000  2 In 2.54
Cl 0.0000 0.0000 0.5000  2 In 2.58

***

Computed, not measured: an optimized crystal structure of GeMoRhW2 at the PBE level of DFT.

Calculated values
DOS at the Fermi energy (states/eV per atom): 1.4887
Formation energy (eV/f.u.): 9.5
Space-group type: No. 123
E_tot (eV per cell): -39.18

a b c (Å): 4.7384 4.7384 4.7448
angles (deg): 90.00 90.00 90.00
Last column: nearest neighbours and their distance in Å.
Sites, in units of the cell vectors:
Ge 0.0000 0.0000 0.0000  4 Rh 3.35, 8 W 3.35
Mo 0.5000 0.5000 0.5000  4 W 2.37, 2 Rh 2.37
Rh 0.5000 0.5000 0.0000  2 Mo 2.37
W 0.0000 0.5000 0.5000  2 Mo 2.37
W 0.5000 0.0000 0.5000  2 Mo 2.37

***

Computed, not measured: an optimized crystal structure of La2Nd at the PBE level of DFT.

Calculated values
DOS at the Fermi energy (states/eV per atom): 2.0204
Formation energy (eV/f.u.): 0.0
Space-group type: No. 139
ΔE to the lowest computed polymorph (meV per atom): 0
E_tot (eV per cell): -14.58

a b c (Å): 8.3010 8.3010 8.3010
angles (deg): 154.12 154.12 36.93
Last column: nearest neighbours and their distance in Å.
Sites, in units of the cell vectors:
La 0.1662 0.1662 0.0000  4 Nd 3.71, 8 La 3.72
La 0.8338 0.8338 0.0000  4 Nd 3.71, 8 La 3.72
Nd 0.5000 0.5000 0.0000  8 La 3.71, 4 Nd 3.72

***

Computed, not measured: an optimized crystal structure of NdDyGe2Pt5 at the PBE level of DFT.

Calculated values
DOS at the Fermi energy (states/eV per atom): 0.3567
Formation energy (eV/f.u.): -7.9
Space-group type: No. 123
E_tot (eV per cell): -56.75

a b c (Å): 4.3165 4.3165 9.0387
angles (deg): 90.00 90.00 90.00
Last column: nearest neighbours and their distance in Å.
Sites, in units of the cell vectors:
Nd 0.0000 0.0000 0.0000  12 Pt 3.01-3.05
Dy 0.0000 0.0000 0.5000  8 Pt 3.24, 8 Ge 3.29
Ge 0.5000 0.5000 0.3655  1 Ge 2.43, 4 Pt 2.47
Ge 0.5000 0.5000 0.6345  1 Ge 2.43, 4 Pt 2.47
Pt 0.0000 0.5000 0.2323  2 Ge 2.47
Pt 0.0000 0.5000 0.7677  2 Ge 2.47
Pt 0.5000 0.0000 0.2323  2 Ge 2.47
Pt 0.5000 0.0000 0.7677  2 Ge 2.47
Pt 0.5000 0.5000 0.0000  8 Pt 3.01, 4 Nd 3.05, 2 Ge 3.30